# GGA-PBE CaSiN, optimized geometry
# - formation energy from raw total energies (eV per atom) = -0.668
# - mass density (g/cm3) = 3.0
# - V (Å³ per atom) = 15.16
data_CaSiN
_cell_length_a 11.409
_cell_length_b 3.301
_cell_length_c 4.855
_cell_angle_alpha 90.00
_cell_angle_beta 95.73
_cell_angle_gamma 90.00
_symmetry_space_group_name_H-M 'C 1 m 1'
_symmetry_Int_Tables_number 8
_symmetry_space_group_name_Hall 'C -2y'
loop_
_atom_site_label
_atom_site_fract_x
_atom_site_fract_y
_atom_site_fract_z
Ca1 0.000 0.000 0.000
Ca2 0.204 0.500 0.532
Si1 0.286 0.000 0.065
Si2 0.444 0.000 0.478
N1 0.028 0.000 0.509
N2 0.351 0.000 0.747

# GGA-PBE Ce2PaGeN5, optimized geometry
# - formation energy from raw total energies (eV per atom) = -1.087
# - mass density (g/cm3) = 8.4
# - V (Å³ per atom) = 14.35
data_Ce2PaGeN5
_cell_length_a 3.438
_cell_length_b 14.160
_cell_length_c 10.607
_cell_angle_alpha 90.00
_cell_angle_beta 90.00
_cell_angle_gamma 90.00
_symmetry_space_group_name_H-M 'C m c 21'
_symmetry_Int_Tables_number 36
_symmetry_space_group_name_Hall 'C 2c -2'
loop_
_atom_site_label
_atom_site_fract_x
_atom_site_fract_y
_atom_site_fract_z
Ce1 0.000 0.115 0.000
Ce2 0.000 0.134 0.589
Pa1 0.000 0.210 0.303
Ge1 0.000 0.500 0.271
N1 0.000 0.044 0.344
N2 0.000 0.287 0.946
N3 0.000 0.300 0.662
N4 0.000 0.369 0.311
N5 0.000 0.495 0.093

Please write out number 2 again, unchanged.
# GGA-PBE Ce2PaGeN5, optimized geometry
# - formation energy from raw total energies (eV per atom) = -1.087
# - mass density (g/cm3) = 8.4
# - V (Å³ per atom) = 14.35
data_Ce2PaGeN5
_cell_length_a 3.438
_cell_length_b 14.160
_cell_length_c 10.607
_cell_angle_alpha 90.00
_cell_angle_beta 90.00
_cell_angle_gamma 90.00
_symmetry_space_group_name_H-M 'C m c 21'
_symmetry_Int_Tables_number 36
_symmetry_space_group_name_Hall 'C 2c -2'
loop_
_atom_site_label
_atom_site_fract_x
_atom_site_fract_y
_atom_site_fract_z
Ce1 0.000 0.115 0.000
Ce2 0.000 0.134 0.589
Pa1 0.000 0.210 0.303
Ge1 0.000 0.500 0.271
N1 0.000 0.044 0.344
N2 0.000 0.287 0.946
N3 0.000 0.300 0.662
N4 0.000 0.369 0.311
N5 0.000 0.495 0.093

What did the first record say?
# GGA-PBE CaSiN, optimized geometry
# - formation energy from raw total energies (eV per atom) = -0.668
# - mass density (g/cm3) = 3.0
# - V (Å³ per atom) = 15.16
data_CaSiN
_cell_length_a 11.409
_cell_length_b 3.301
_cell_length_c 4.855
_cell_angle_alpha 90.00
_cell_angle_beta 95.73
_cell_angle_gamma 90.00
_symmetry_space_group_name_H-M 'C 1 m 1'
_symmetry_Int_Tables_number 8
_symmetry_space_group_name_Hall 'C -2y'
loop_
_atom_site_label
_atom_site_fract_x
_atom_site_fract_y
_atom_site_fract_z
Ca1 0.000 0.000 0.000
Ca2 0.204 0.500 0.532
Si1 0.286 0.000 0.065
Si2 0.444 0.000 0.478
N1 0.028 0.000 0.509
N2 0.351 0.000 0.747

Q: Among the records above, which one has the lowest formation energy from raw total energies?
A: Ce2PaGeN5